No. 1
RbBa2SbS4, optimized geometry, DFT PBE; space-group type = C2
1.0
6.381 -6.667 0.000
6.381 6.667 0.000
-5.909 0.000 6.496
Rb Ba Sb S
2 4 2 8
Direct
0.010 0.010 0.266
0.990 0.990 0.734
0.478 0.020 0.804
0.487 0.483 0.741
0.517 0.513 0.259
0.980 0.522 0.196
0.500 0.019 0.338
0.981 0.500 0.662
0.202 0.684 0.675
0.280 0.258 0.787
0.316 0.798 0.325
0.323 0.200 0.264
0.701 0.208 0.722
0.742 0.720 0.213
0.792 0.299 0.278
0.800 0.677 0.736

No. 2
Rb2NiAg, optimized geometry, DFT PBE; space-group type = Fm-3m
1.0
0.000 4.237 4.237
4.237 0.000 4.237
4.237 4.237 0.000
Rb Ni Ag
2 1 1
Direct
0.250 0.250 0.250
0.750 0.750 0.750
0.000 0.000 0.000
0.500 0.500 0.500

Number 1: DFT total energy -4.50 eV/atom. Number 2: DFT total energy -2.00 eV/atom.